A plane-wave DFT calculation with PBE was carried out for a geometry-optimized GeRh2N4 structure.

```
7
Lattice="-1.969 1.969 5.146 1.969 -1.969 5.146 1.969 1.969 -5.146" Properties=species:S:1:pos:R:3 pbc="T T T"
Ge 0.000 0.000 0.000
Rh 0.000 0.000 3.792
Rh 0.000 0.000 6.500
N 1.969 0.000 0.000
N 0.000 0.000 2.024
N 0.000 1.969 0.000
N 0.000 0.000 8.268
```

## Properties
electronic total energy = -0.2298 hartree per atom
M_tot = 0.00 μB/cell
ΔE_f (raw) = 1.264 eV per atom


A plane-wave DFT calculation with PBE was carried out for a geometry-optimized Sr4ScMo2 structure.

```
7
Lattice="-3.149 3.149 7.661 3.149 -3.149 7.661 3.149 3.149 -7.661" Properties=species:S:1:pos:R:3 pbc="T T T"
Sr 3.149 0.000 0.000
Sr 0.000 0.000 3.325
Sr 0.000 3.149 0.000
Sr 0.000 0.000 11.998
Sc 0.000 0.000 0.000
Mo 0.000 0.000 6.622
Mo 0.000 0.000 8.701
```

## Properties
electronic total energy = -0.1422 hartree per atom
M_tot = 0.36 μB/cell
formation enthalpy at 0 K = 1092 meV/atom


A plane-wave DFT calculation with PBE was carried out for a geometry-optimized La3Sc4 structure.

```
7
Lattice="6.389 0.000 0.000 -3.195 5.533 0.000 0.000 0.000 5.942" Properties=species:S:1:pos:R:3 pbc="T T T"
La -1.597 2.767 0.000
La 3.195 0.000 0.000
La 1.597 2.767 0.000
Sc 0.000 0.000 1.545
Sc 0.000 0.000 4.396
Sc 0.000 3.689 2.971
Sc 3.195 1.844 2.971
```

## Properties
electronic total energy = -0.1981 hartree per atom
M_tot = 0.00 μB/cell
formation enthalpy at 0 K = 339 meV/atom


A plane-wave DFT calculation with PBE was carried out for a geometry-optimized Cr3Mo3W structure.

```
14
Lattice="3.408 1.967 5.389 -3.408 1.967 5.389 0.000 -3.935 5.389" Properties=species:S:1:pos:R:3 pbc="T T T"
Cr -0.872 -1.461 6.046
Cr -0.829 1.486 6.046
Cr -1.701 0.025 10.121
Cr 1.701 -0.025 6.046
Cr 0.829 -1.486 10.121
Cr 0.872 1.461 10.121
Mo -2.481 0.539 7.329
Mo -1.707 -1.879 8.838
Mo 0.774 -2.418 7.329
Mo -0.774 2.418 8.838
Mo 1.707 1.879 7.329
Mo 2.481 -0.539 8.838
W 0.000 0.000 4.128
W 0.000 0.000 12.039
```

## Properties
electronic total energy = -0.3701 hartree per atom
M_tot = 0.00 μB/cell
formation enthalpy at 0 K = 546 meV/atom


A plane-wave DFT calculation with PBE was carried out for a geometry-optimized La2Pr12Nd structure.

```
30
Lattice="6.701 0.000 0.000 0.000 6.701 0.000 0.000 0.000 25.788" Properties=species:S:1:pos:R:3 pbc="T T T"
La 1.675 5.025 6.039
La 1.675 5.025 19.749
La 5.025 1.675 6.039
La 5.025 1.675 19.749
Pr 0.419 3.769 9.964
Pr 0.419 6.282 15.824
Pr 0.550 3.900 1.590
Pr 0.550 6.151 24.199
Pr 1.675 1.675 4.164
Pr 1.675 1.675 7.342
Pr 1.675 1.675 18.446
Pr 1.675 1.675 21.625
Pr 2.801 3.900 24.199
Pr 2.801 6.151 1.590
Pr 2.931 3.769 15.824
Pr 2.931 6.282 9.964
Pr 3.769 0.419 15.824
Pr 3.769 2.931 9.964
Pr 3.900 0.550 24.199
Pr 3.900 2.801 1.590
Pr 5.025 5.025 4.164
Pr 5.025 5.025 7.342
Pr 5.025 5.025 18.446
Pr 5.025 5.025 21.625
Pr 6.151 0.550 1.590
Pr 6.151 2.801 24.199
Pr 6.282 0.419 9.964
Pr 6.282 2.931 15.824
Nd 1.675 5.025 12.894
Nd 5.025 1.675 12.894
```

## Properties
electronic total energy = -0.1660 hartree per atom
M_tot = 0.00 μB/cell
formation enthalpy at 0 K = 281 meV/atom


A plane-wave DFT calculation with PBE was carried out for a geometry-optimized La3CoSn structure.

```
10
Lattice="5.596 0.000 0.000 2.789 6.223 0.000 2.797 2.356 8.655" Properties=species:S:1:pos:R:3 pbc="T T T"
La 1.396 0.831 2.372
La 4.195 4.179 7.358
La 4.193 3.171 3.549
La 6.990 5.408 5.106
La 6.987 4.400 1.297
La 9.786 7.748 6.283
Co 4.191 5.568 4.896
Co 6.991 3.011 3.759
Sn 6.986 6.933 8.169
Sn 4.196 1.646 0.486
```

## Properties
polymorph energy (0 for the lowest one) = 83 meV per atom
electronic total energy = -0.2037 hartree per atom
M_tot = 0.00 μB/cell
formation enthalpy at 0 K = -365 meV/atom


A plane-wave DFT calculation with PBE was carried out for a geometry-optimized Ba4TiAs4 structure.

```
72
Lattice="13.600 0.000 0.000 0.000 13.600 0.000 0.000 0.000 13.600" Properties=species:S:1:pos:R:3 pbc="T T T"
Ba 1.261 1.855 8.816
Ba 1.261 11.745 4.784
Ba 1.855 4.784 12.339
Ba 1.855 8.816 1.261
Ba 2.017 2.017 2.017
Ba 2.016 4.945 5.539
Ba 2.016 8.655 8.061
Ba 2.017 11.582 11.582
Ba 4.784 1.261 11.745
Ba 4.783 4.783 8.817
Ba 4.783 8.817 4.783
Ba 4.784 12.339 1.855
Ba 4.945 5.539 2.016
Ba 4.945 8.061 11.584
Ba 5.539 2.016 4.945
Ba 5.539 11.584 8.655
Ba 8.061 2.016 8.655
Ba 8.061 11.584 4.945
Ba 8.655 5.539 11.584
Ba 8.655 8.061 2.016
Ba 8.816 1.261 1.855
Ba 8.817 4.783 4.783
Ba 8.817 8.817 8.817
Ba 8.816 12.339 11.745
Ba 11.582 2.017 11.582
Ba 11.584 4.945 8.061
Ba 11.584 8.655 5.539
Ba 11.582 11.582 2.017
Ba 11.745 4.784 1.261
Ba 11.745 8.816 12.339
Ba 12.339 1.855 4.784
Ba 12.339 11.745 8.816
Ti 0.000 0.000 0.000
Ti 0.000 6.800 3.400
Ti 0.000 6.800 10.200
Ti 3.400 0.000 6.800
Ti 6.800 3.400 0.000
Ti 6.800 6.800 6.800
Ti 6.800 10.200 0.000
Ti 10.200 0.000 6.800
As 1.426 5.282 8.822
As 1.426 8.317 4.778
As 1.439 1.439 12.161
As 1.439 12.161 1.439
As 1.517 5.374 2.022
As 1.517 8.226 11.578
As 2.022 1.517 5.374
As 2.022 12.082 8.226
As 4.778 1.426 8.317
As 4.778 12.174 5.282
As 5.282 4.778 12.174
As 5.282 8.822 1.426
As 5.361 5.361 5.361
As 5.361 8.239 8.239
As 5.374 2.022 1.517
As 5.374 11.578 12.082
As 8.226 2.022 12.082
As 8.226 11.578 1.517
As 8.239 5.361 8.239
As 8.239 8.239 5.361
As 8.317 4.778 1.426
As 8.317 8.822 12.174
As 8.822 1.426 5.282
As 8.822 12.174 8.317
As 11.578 1.517 8.226
As 11.578 12.082 5.374
As 12.082 5.374 11.578
As 12.082 8.226 2.022
As 12.161 1.439 1.439
As 12.161 12.161 12.161
As 12.174 5.282 4.778
As 12.174 8.317 8.822
```

## Properties
polymorph energy (0 for the lowest one) = 0 meV per atom
electronic total energy = -0.1803 hartree per atom
M_tot = 0.00 μB/cell
formation enthalpy at 0 K = -1108 meV/atom


A plane-wave DFT calculation with PBE was carried out for a geometry-optimized Zn8IrAu2 structure.

```
11
Lattice="-2.061 3.647 5.775 2.061 -3.647 5.775 2.061 3.647 -5.775" Properties=species:S:1:pos:R:3 pbc="T T T"
Zn 2.061 1.976 -1.727
Zn 0.000 0.000 1.787
Zn 0.000 1.933 0.000
Zn 2.061 1.976 1.727
Zn 0.000 1.671 4.048
Zn 0.000 5.361 0.000
Zn 0.000 0.000 9.763
Zn 0.000 1.671 7.502
Ir 2.061 0.000 0.000
Au 2.061 0.000 3.643
Au 0.000 3.647 2.132
```

## Properties
electronic total energy = -0.0922 hartree per atom
M_tot = 0.00 μB/cell
formation enthalpy at 0 K = -182 meV/atom